# TbPuGa2O8 PBE-GGA relaxed
data_TbPuGa2O8
_cell_length_a 7.1762
_cell_length_b 6.3756
_cell_length_c 7.0211
_cell_angle_alpha 90.00
_cell_angle_beta 96.77
_cell_angle_gamma 90.00
_space_group_name_H-M_alt 'C 1 2/m 1'
_space_group_IT_number 12
loop_
_space_group_symop_operation_xyz
'x,y,z'
'-x,-y,-z'
'-x,y,-z'
'x,-y,z'
'x+1/2,y+1/2,z'
'-x+1/2,-y+1/2,-z'
'-x+1/2,y+1/2,-z'
'x+1/2,-y+1/2,z'
loop_
_atom_site_label
_atom_site_fract_x
_atom_site_fract_y
_atom_site_fract_z
_atom_site_occupancy
Tb1 0.0000 0.0000 0.0000 1
Pu1 0.0000 0.0000 0.5000 1
Ga1 0.0378 0.5000 0.2028 1
O1 0.0062 0.2122 0.2711 1
O2 0.1823 0.5000 0.9936 1
O3 0.2366 0.5000 0.4502 1
# Raw total energy (eV for the cell shown): -183.8
# Total moment (μB/atom): 0.08
# ΔE_f (raw) (meV/atom): -2270